# 1
Here is DyMg2Pb after structural relaxation from OQMD via LeMat-Bulk. Energies are from PBE-GGA.

## Properties
- density (g/cm3) = 7.0
- crystal system = tetragonal
- space group = P4/mmm
- total DFT energy (no corrections) (eV per atom) = -3.151

Unit cell a=4.5554 b=4.5554 c=4.7951 alpha=90.00 beta=90.00 gamma=90.00
Last column: nearest neighbours and their distance in Å.
Element x y z (fractional)
1 Dy 0.0000 0.0000 0.0000  4 Pb 3.22, 8 Mg 3.31
2 Mg 0.0000 0.5000 0.5000  4 Mg 3.22, 4 Pb 3.31, 4 Dy 3.31
3 Mg 0.5000 0.0000 0.5000  4 Mg 3.22, 4 Pb 3.31, 4 Dy 3.31
4 Pb 0.5000 0.5000 0.0000  4 Dy 3.22, 8 Mg 3.31

---

# 2
Here is CdCu2I3Br after structural relaxation from OQMD via LeMat-Bulk. Energies are from PBE-GGA.

## Properties
- density (g/cm3) = 5.1
- crystal system = monoclinic
- space group = Cm
- total DFT energy (no corrections) (eV per atom) = -2.469

Unit cell a=6.0470 b=6.0470 c=6.2654 alpha=91.28 beta=91.28 gamma=89.50
Last column: nearest neighbours and their distance in Å.
Element x y z (fractional)
1 Cd 0.0000 0.0000 0.0000  1 Br 2.70, 3 I 2.83
2 Cu 0.0016 0.4925 0.4917  1 Br 2.51, 3 I 2.62-2.63
3 Cu 0.4925 0.0016 0.4917  1 Br 2.51, 3 I 2.62-2.63
4 I 0.2697 0.7363 0.7301  2 Cu 2.62, 1 Cd 2.83
5 I 0.7331 0.7331 0.2537  2 Cu 2.63, 1 Cd 2.83
6 I 0.7363 0.2697 0.7301  2 Cu 2.62, 1 Cd 2.83
7 Br 0.2511 0.2511 0.2697  2 Cu 2.51, 1 Cd 2.70

---

# 3
Here is FeMo3C2 after structural relaxation from OQMD via LeMat-Bulk. Energies are from PBE-GGA.

## Properties
- density (g/cm3) = 8.4
- crystal system = hexagonal
- space group = P6_3/mmc
- total DFT energy (no corrections) (eV per atom) = -9.683

Unit cell a=3.0276 b=3.0276 c=18.3097 alpha=90.00 beta=90.00 gamma=120.00
Last column: nearest neighbours and their distance in Å.
Element x y z (fractional)
1 Fe 0.0000 0.0000 0.2500  6 Mo 2.72, 6 Fe 3.03
2 Fe 0.0000 0.0000 0.7500  6 Mo 2.72, 6 Fe 3.03
3 Mo 0.0000 0.0000 0.0000  6 C 2.20
4 Mo 0.0000 0.0000 0.5000  6 C 2.20
5 Mo 0.3333 0.6667 0.1359  3 C 2.10
6 Mo 0.3333 0.6667 0.3641  3 C 2.10
7 Mo 0.6667 0.3333 0.6359  3 C 2.10
8 Mo 0.6667 0.3333 0.8641  3 C 2.10
9 C 0.3333 0.6667 0.5727  6 Mo 2.10-2.20
10 C 0.3333 0.6667 0.9273  6 Mo 2.10-2.20
11 C 0.6667 0.3333 0.0727  6 Mo 2.10-2.20
12 C 0.6667 0.3333 0.4273  6 Mo 2.10-2.20

---

# 4
Here is YTaGe after structural relaxation from OQMD via LeMat-Bulk. Energies are from PBE-GGA.

## Properties
- density (g/cm3) = 8.4
- crystal system = cubic
- space group = F-43m
- total DFT energy (no corrections) (eV per atom) = -7.569

Unit cell a=4.5834 b=4.5834 c=4.5834 alpha=60.00 beta=60.00 gamma=60.00
Last column: nearest neighbours and their distance in Å.
Element x y z (fractional)
1 Y 0.0000 0.0000 0.0000  4 Ge 2.81
2 Ta 0.5000 0.5000 0.5000  4 Ge 2.81
3 Ge 0.7500 0.7500 0.7500  4 Y 2.81, 4 Ta 2.81

---

# 5
Here is NiBi2S4 after structural relaxation from OQMD via LeMat-Bulk. Energies are from PBE-GGA.

## Properties
- density (g/cm3) = 6.4
- crystal system = monoclinic
- space group = C2/m
- total DFT energy (no corrections) (eV per atom) = -4.565

Unit cell a=6.3845 b=6.3845 c=14.5639 alpha=113.38 beta=113.38 gamma=35.30
Last column: nearest neighbours and their distance in Å.
Element x y z (fractional)
1 Ni 0.0000 0.0000 0.0000  6 S 2.40-2.51
2 Ni 0.0000 0.0000 0.5000  6 S 2.28-2.53
3 Bi 0.2115 0.2115 0.8673  6 S 2.70-2.97
4 Bi 0.3455 0.3455 0.6412  5 S 2.66-2.97
5 Bi 0.6545 0.6545 0.3588  5 S 2.66-2.97
6 Bi 0.7885 0.7885 0.1327  6 S 2.70-2.97
7 S 0.0127 0.0127 0.6607  1 Ni 2.28
8 S 0.1550 0.1550 0.1688  1 Ni 2.40
9 S 0.3531 0.3531 0.4615  2 Ni 2.53, 1 Bi 2.66
10 S 0.4037 0.4037 0.0482  2 Ni 2.51, 1 Bi 2.70
11 S 0.5963 0.5963 0.9518  2 Ni 2.51, 1 Bi 2.70
12 S 0.6469 0.6469 0.5385  2 Ni 2.53, 1 Bi 2.66
13 S 0.8450 0.8450 0.8312  1 Ni 2.40
14 S 0.9873 0.9873 0.3393  1 Ni 2.28

---

# 6
Here is CdCuAgGe after structural relaxation from OQMD via LeMat-Bulk. Energies are from PBE-GGA.

## Properties
- polymorph energy (0 for the lowest one) (kJ per mole of atoms) = 0.00
- density (g/cm3) = 8.3
- crystal system = cubic
- space group = F-43m
- total DFT energy (no corrections) (eV per atom) = -2.839

Unit cell a=4.6487 b=4.6487 c=4.6487 alpha=60.00 beta=60.00 gamma=60.00
Last column: nearest neighbours and their distance in Å.
Element x y z (fractional)
1 Cd 0.0000 0.0000 0.0000  4 Cu 2.85, 4 Ag 2.85
2 Cu 0.7500 0.7500 0.7500  4 Ge 2.85, 4 Cd 2.85
3 Ag 0.2500 0.2500 0.2500  4 Ge 2.85, 4 Cd 2.85
4 Ge 0.5000 0.5000 0.5000  4 Ag 2.85, 4 Cu 2.85

---

# 7
Here is BaSmCdP2 after structural relaxation from OQMD via LeMat-Bulk. Energies are from PBE-GGA.

## Properties
- density (g/cm3) = 5.7
- crystal system = orthorhombic
- space group = Cmc2_1
- total DFT energy (no corrections) (eV per atom) = -4.570

Unit cell a=9.1681 b=9.1681 c=7.0097 alpha=90.00 beta=90.00 gamma=153.03
Last column: nearest neighbours and their distance in Å.
Element x y z (fractional)
1 Ba 0.1972 0.8028 0.5000  6 P 3.23-3.57
2 Ba 0.8028 0.1972 0.0000  6 P 3.23-3.57
3 Sm 0.0297 0.9703 0.8068  5 P 2.81-2.99
4 Sm 0.9703 0.0297 0.3068  5 P 2.81-2.99
5 Cd 0.3961 0.6039 0.6436  4 P 2.61-2.86
6 Cd 0.6039 0.3961 0.1436  4 P 2.61-2.86
7 P 0.1670 0.8330 0.0036  2 Cd 2.61, 1 Sm 2.81
8 P 0.4519 0.5481 0.0127  2 Cd 2.77-2.86, 4 Sm 2.93-2.99
9 P 0.5481 0.4519 0.5127  2 Cd 2.77-2.86, 4 Sm 2.93-2.99
10 P 0.8330 0.1670 0.5036  2 Cd 2.61, 1 Sm 2.81

---

# 8
Here is RbSmCoS3 after structural relaxation from OQMD via LeMat-Bulk. Energies are from PBE-GGA.

## Properties
- density (g/cm3) = 4.1
- crystal system = orthorhombic
- space group = Cmcm
- total DFT energy (no corrections) (eV per atom) = -5.457

Unit cell a=7.6569 b=7.6569 c=10.6752 alpha=90.00 beta=90.00 gamma=149.75
Last column: nearest neighbours and their distance in Å.
Element x y z (fractional)
1 Rb 0.2405 0.7595 0.7500  6 S 3.40-3.43
2 Rb 0.7595 0.2405 0.2500  6 S 3.40-3.43
3 Sm 0.5000 0.5000 0.0000  6 S 2.78-2.79
4 Sm 0.5000 0.5000 0.5000  6 S 2.78-2.79
5 Co 0.0341 0.9659 0.2500  4 S 2.26-2.39
6 Co 0.9659 0.0341 0.7500  4 S 2.26-2.39
7 S 0.1196 0.8804 0.0746  1 Co 2.26
8 S 0.1196 0.8804 0.4254  1 Co 2.26
9 S 0.4455 0.5545 0.2500  2 Co 2.39
10 S 0.5545 0.4455 0.7500  2 Co 2.39
11 S 0.8804 0.1196 0.5746  1 Co 2.26
12 S 0.8804 0.1196 0.9254  1 Co 2.26

---

# 9
Here is BaNaNiAs after structural relaxation from OQMD via LeMat-Bulk. Energies are from PBE-GGA.

## Properties
- polymorph energy (0 for the lowest one) (kJ per mole of atoms) = 9.13
- density (g/cm3) = 5.2
- crystal system = cubic
- space group = F-43m
- total DFT energy (no corrections) (eV per atom) = -3.384

Unit cell a=5.0962 b=5.0962 c=5.0962 alpha=60.00 beta=60.00 gamma=60.00
Last column: nearest neighbours and their distance in Å.
Element x y z (fractional)
1 Ba 0.0000 0.0000 0.0000  4 As 3.12, 4 Na 3.12
2 Na 0.2500 0.2500 0.2500  4 Ba 3.12, 4 Ni 3.12
3 Ni 0.5000 0.5000 0.5000  4 As 3.12, 4 Na 3.12
4 As 0.7500 0.7500 0.7500  4 Ba 3.12, 4 Ni 3.12

---

# 10
Here is TbTlNiTe3 after structural relaxation from OQMD via LeMat-Bulk. Energies are from PBE-GGA.

## Properties
- polymorph energy (0 for the lowest one) (kJ per mole of atoms) = 1.98
- density (g/cm3) = 7.3
- crystal system = orthorhombic
- space group = Pnma
- total DFT energy (no corrections) (eV per atom) = -4.329

Unit cell a=11.1011 b=4.1550 c=15.7795 alpha=90.00 beta=90.00 gamma=90.00
Last column: nearest neighbours and their distance in Å.
Element x y z (fractional)
1 Tb 0.0132 0.2500 0.2454  6 Te 3.02-3.08
2 Tb 0.4868 0.7500 0.7454  6 Te 3.02-3.08
3 Tb 0.5132 0.2500 0.2546  6 Te 3.02-3.08
4 Tb 0.9868 0.7500 0.7546  6 Te 3.02-3.08
5 Tl 0.2265 0.7500 0.4971  7 Te 3.37-3.75
6 Tl 0.2735 0.2500 0.9971  7 Te 3.37-3.75
7 Tl 0.7265 0.7500 0.0029  7 Te 3.37-3.75
8 Tl 0.7735 0.2500 0.5029  7 Te 3.37-3.75
9 Ni 0.2395 0.2500 0.7284  4 Te 2.56-2.59
10 Ni 0.2605 0.7500 0.2284  4 Te 2.56-2.59
11 Ni 0.7395 0.2500 0.7716  4 Te 2.56-2.59
12 Ni 0.7605 0.7500 0.2716  4 Te 2.56-2.59
13 Te 0.0657 0.2500 0.6218  1 Ni 2.56
14 Te 0.0953 0.7500 0.1151  1 Ni 2.56
15 Te 0.2393 0.7500 0.8263  2 Ni 2.59
16 Te 0.2607 0.2500 0.3263  2 Ni 2.59
17 Te 0.4047 0.2500 0.6151  1 Ni 2.56
18 Te 0.4343 0.7500 0.1218  1 Ni 2.56
19 Te 0.5657 0.2500 0.8782  1 Ni 2.56
20 Te 0.5953 0.7500 0.3849  1 Ni 2.56
21 Te 0.7393 0.7500 0.6737  2 Ni 2.59
22 Te 0.7607 0.2500 0.1737  2 Ni 2.59
23 Te 0.9047 0.2500 0.8849  1 Ni 2.56
24 Te 0.9343 0.7500 0.3782  1 Ni 2.56

---

# 11
Here is RbPt after structural relaxation from OQMD via LeMat-Bulk. Energies are from PBE-GGA.

## Properties
- density (g/cm3) = 5.9
- crystal system = cubic
- space group = Fm-3m
- total DFT energy (no corrections) (eV per atom) = -2.499

Unit cell a=4.8057 b=4.8057 c=4.8057 alpha=60.00 beta=60.00 gamma=60.00
Last column: nearest neighbours and their distance in Å.
Element x y z (fractional)
1 Rb 0.0000 0.0000 0.0000  6 Pt 3.40
2 Pt 0.5000 0.5000 0.5000  6 Rb 3.40

---

# 12
Here is DyLu3Te2C2 after structural relaxation from OQMD via LeMat-Bulk. Energies are from PBE-GGA.

## Properties
- density (g/cm3) = 9.5
- crystal system = trigonal
- space group = P3m1
- total DFT energy (no corrections) (eV per atom) = -6.246

Unit cell a=3.7629 b=3.7629 c=13.7750 alpha=90.00 beta=90.00 gamma=120.00
Last column: nearest neighbours and their distance in Å.
Element x y z (fractional)
1 Dy 0.0000 0.0000 0.0000  3 C 2.54
2 Lu 0.0000 0.0000 0.6818  3 C 2.51
3 Lu 0.6667 0.3333 0.1868  3 C 2.51
4 Lu 0.6667 0.3333 0.5000  3 C 2.51
5 Te 0.0000 0.0000 0.3434  6 Lu 3.06
6 Te 0.6667 0.3333 0.8379  3 Lu 3.06, 3 Dy 3.12
7 C 0.3333 0.6667 0.0957  3 Lu 2.51, 3 Dy 2.54
8 C 0.3333 0.6667 0.5908  6 Lu 2.51

---

Q: Which of these has the lowest total DFT energy (no corrections)?
A: FeMo3C2

---

Q: What is the formula in the second record?
A: CdCu2I3Br

---

Q: Which of these has the lowest density?
A: RbSmCoS3

---

Q: Which of these has the lowest density?
A: RbSmCoS3